Record 1
Material: Be2ReTeMo
Method: DFT, PBE-GGA
State: optimized geometry

Output
- Energy: -23.4 eV per cell
- Size of the total moment: 0.000 μB per atom
- Formation energy (no corrections): 2.10 eV per atom

```
5
Lattice="4.2100 0.0000 0.0000 0.0000 4.2100 0.0000 0.0000 0.0000 5.2471" Properties=species:S:1:pos:R:3 pbc="T T T"
Be 0.0000 2.1050 0.0000
Be 2.1050 0.0000 0.0000
Re 0.0000 0.0000 2.6235
Te 0.0000 0.0000 0.0000
Mo 2.1050 2.1050 2.6235
```

Record 2
Material: LuFe2Si2
Method: DFT, PBE-GGA
State: optimized geometry

Output
- Energy: -71.3 eV per cell
- Size of the total moment: 0.001 μB per atom
- Formation energy (no corrections): -0.67 eV per atom

```
10
Lattice="3.9184 0.0000 0.0000 0.0000 3.9184 0.0000 0.0000 0.0000 9.4218" Properties=species:S:1:pos:R:3 pbc="T T T"
Lu 0.0000 0.0000 0.0000
Lu 1.9592 1.9592 4.7109
Fe 0.0000 1.9592 2.3555
Fe 0.0000 1.9592 7.0664
Fe 1.9592 0.0000 2.3555
Fe 1.9592 0.0000 7.0664
Si 0.0000 0.0000 3.4740
Si 0.0000 0.0000 5.9479
Si 1.9592 1.9592 1.2370
Si 1.9592 1.9592 8.1849
```

Record 3
Material: K2MgTl7
Method: DFT, PBE-GGA
State: optimized geometry

Output
- Energy: -20.7 eV per cell
- Size of the total moment: 0.000 μB per atom
- Energy above the most stable polymorph in this dataset: 0.0000 eV per atom

```
10
Lattice="4.9304 0.0000 0.0000 0.0000 4.9304 0.0000 0.0000 0.0000 14.0325" Properties=species:S:1:pos:R:3 pbc="T T T"
K 0.0000 2.4652 3.4844
K 2.4652 0.0000 10.5481
Mg 2.4652 2.4652 0.0000
Tl 0.0000 0.0000 0.0000
Tl 0.0000 0.0000 7.0162
Tl 0.0000 2.4652 9.0612
Tl 0.0000 2.4652 12.1339
Tl 2.4652 0.0000 1.8986
Tl 2.4652 0.0000 4.9713
Tl 2.4652 2.4652 7.0162
```

Record 4
Material: MnNbOs2Se
Method: DFT, PBE-GGA
State: optimized geometry

Output
- Energy: -38.6 eV per cell
- Size of the total moment: 0.000 μB per atom
- Energy above the most stable polymorph in this dataset: 0.0048 eV per atom
- Formation energy (no corrections): 1.32 eV per atom

```
5
Lattice="4.5342 0.0000 0.0000 0.0000 4.5342 0.0000 0.0000 0.0000 4.2156" Properties=species:S:1:pos:R:3 pbc="T T T"
Mn 0.0000 0.0000 0.0000
Nb 2.2671 2.2671 0.0000
Os 0.0000 2.2671 2.1078
Os 2.2671 0.0000 2.1078
Se 0.0000 0.0000 2.1078
```

Record 5
Material: TeAs2H2
Method: DFT, PBE-GGA
State: optimized geometry

Output
- Energy: -18.3 eV per cell
- Size of the total moment: 0.000 μB per atom

```
5
Lattice="3.4892 0.0000 0.0000 0.6299 5.3482 0.0000 1.1104 1.3160 5.9324" Properties=species:S:1:pos:R:3 pbc="T T T"
Te 0.0000 0.0000 0.0000
As 1.7268 3.7141 2.1626
As 3.5027 2.9501 3.7698
H 1.7148 2.3685 1.4038
H 3.5147 4.2957 4.5286
```

Record 6
Material: Y3Se
Method: DFT, PBE-GGA
State: optimized geometry

Output
- Energy: -25.4 eV per cell
- Size of the total moment: 0.286 μB per atom
- Energy above the most stable polymorph in this dataset: 0.2001 eV per atom
- Formation energy (no corrections): -0.62 eV per atom

```
4
Lattice="3.6365 0.0000 0.0000 0.0000 3.6596 0.0000 0.0000 0.0000 9.2145" Properties=species:S:1:pos:R:3 pbc="T T T"
Y 0.0000 0.0000 0.0000
Y 0.0000 1.8298 3.6292
Y 1.8183 1.8298 6.7492
Se 1.8183 0.0000 2.3155
```

Record 7
Material: Sr2SnN
Method: DFT, PBE-GGA
State: optimized geometry

Output
- Energy: -57.5 eV per cell
- Size of the total moment: 0.000 μB per atom
- Formation energy (no corrections): 0.33 eV per atom

```
16
Lattice="7.5951 0.0000 0.0000 0.0000 7.5951 0.0000 0.0000 0.0000 7.5951" Properties=species:S:1:pos:R:3 pbc="T T T"
Sr 1.8988 1.8988 1.8988
Sr 1.8988 1.8988 5.6963
Sr 1.8988 5.6963 1.8988
Sr 1.8988 5.6963 5.6963
Sr 5.6963 1.8988 1.8988
Sr 5.6963 1.8988 5.6963
Sr 5.6963 5.6963 1.8988
Sr 5.6963 5.6963 5.6963
Sn 0.0000 0.0000 0.0000
Sn 0.0000 3.7976 3.7976
Sn 3.7976 0.0000 3.7976
Sn 3.7976 3.7976 0.0000
N 0.0000 0.0000 3.7976
N 0.0000 3.7976 0.0000
N 3.7976 0.0000 0.0000
N 3.7976 3.7976 3.7976
```

Record 8
Material: TbPm3Dy2
Method: DFT, PBE-GGA
State: optimized geometry

Output
- Energy: -54.7 eV per cell
- Size of the total moment: 0.000 μB per atom
- Energy above the most stable polymorph in this dataset: 0.0578 eV per atom

```
12
Lattice="9.4801 -3.2085 0.0000 9.4801 3.2085 0.0000 -2.7458 0.0000 6.6966" Properties=species:S:1:pos:R:3 pbc="T T T"
Tb 7.4207 1.6621 5.0225
Tb 8.7936 -1.6621 1.6742
Pm 8.7936 1.5298 1.6742
Pm 4.4735 0.0128 3.7917
Pm 5.8464 -0.0128 0.4434
Pm 10.3679 0.0128 6.2532
Pm 11.7408 -0.0128 2.9049
Pm 7.4207 -1.5298 5.0225
Dy 2.3555 0.0008 0.9710
Dy 0.9826 -0.0008 4.3193
Dy 15.2318 0.0008 2.3773
Dy 13.8589 -0.0008 5.7256
```

Record 9
Material: Tb5Al2Bi
Method: DFT, PBE-GGA
State: optimized geometry

Output
- Energy: -76.1 eV per cell
- Size of the total moment: 0.000 μB per atom

```
16
Lattice="-4.1689 4.1689 6.4197 4.1689 -4.1689 6.4197 4.1689 4.1689 -6.4197" Properties=species:S:1:pos:R:3 pbc="T T T"
Tb 0.0000 0.0000 0.0000
Tb 5.4652 1.2963 -1.8532
Tb 1.2963 2.8725 -1.8532
Tb 5.4652 1.2963 1.8532
Tb 1.2963 2.8725 1.8532
Tb 0.0000 0.0000 6.4197
Tb 2.8725 1.2963 4.5665
Tb -1.2963 2.8725 4.5665
Tb 2.8725 1.2963 8.2729
Tb -1.2963 2.8725 8.2729
Al 2.9840 1.1849 0.0000
Al 2.9840 -1.1849 6.4197
Al 1.1849 5.3538 0.0000
Al 1.1849 2.9840 6.4197
Bi 0.0000 0.0000 3.2099
Bi 0.0000 0.0000 9.6296
```

Record 10
Material: TmPb7
Method: DFT, PBE-GGA
State: optimized geometry

Output
- Energy: -31.0 eV per cell
- Size of the total moment: 0.000 μB per atom

```
8
Lattice="0.0000 4.9487 4.9487 4.9487 0.0000 4.9487 4.9487 4.9487 0.0000" Properties=species:S:1:pos:R:3 pbc="T T T"
Tm 0.0000 0.0000 0.0000
Pb 2.4744 2.4744 0.0000
Pb 2.4744 0.0000 2.4744
Pb 4.9487 2.4744 2.4744
Pb 0.0000 2.4744 2.4744
Pb 2.4744 4.9487 2.4744
Pb 2.4744 2.4744 4.9487
Pb 4.9487 4.9487 4.9487
```

Record 11
Material: Ho2ErIn
Method: DFT, PBE-GGA
State: optimized geometry

Output
- Energy: -67.8 eV per cell
- Size of the total moment: 0.199 μB per atom
- Energy above the most stable polymorph in this dataset: 0.1411 eV per atom

```
16
Lattice="7.6582 0.0000 0.0000 0.0000 7.6582 0.0000 0.0000 0.0000 7.6582" Properties=species:S:1:pos:R:3 pbc="T T T"
Ho 1.9146 1.9146 1.9146
Ho 1.9146 1.9146 5.7437
Ho 1.9146 5.7437 1.9146
Ho 1.9146 5.7437 5.7437
Ho 5.7437 1.9146 1.9146
Ho 5.7437 1.9146 5.7437
Ho 5.7437 5.7437 1.9146
Ho 5.7437 5.7437 5.7437
Er 0.0000 0.0000 0.0000
Er 0.0000 3.8291 3.8291
Er 3.8291 0.0000 3.8291
Er 3.8291 3.8291 0.0000
In 0.0000 0.0000 3.8291
In 0.0000 3.8291 0.0000
In 3.8291 0.0000 0.0000
In 3.8291 3.8291 3.8291
```

Record 12
Material: LiNdSmTc
Method: DFT, PBE-GGA
State: optimized geometry

Output
- Energy: -86.2 eV per cell
- Size of the total moment: 0.000 μB per atom

```
16
Lattice="7.1335 0.0000 0.0000 0.0000 7.1335 0.0000 0.0000 0.0000 7.1335" Properties=species:S:1:pos:R:3 pbc="T T T"
Li 0.0000 0.0000 0.0000
Li 0.0000 3.5668 3.5668
Li 3.5668 0.0000 3.5668
Li 3.5668 3.5668 0.0000
Nd 1.7834 1.7834 1.7834
Nd 1.7834 5.3502 5.3502
Nd 5.3502 1.7834 5.3502
Nd 5.3502 5.3502 1.7834
Sm 1.7834 1.7834 5.3502
Sm 1.7834 5.3502 1.7834
Sm 5.3502 1.7834 1.7834
Sm 5.3502 5.3502 5.3502
Tc 0.0000 0.0000 3.5668
Tc 0.0000 3.5668 0.0000
Tc 3.5668 0.0000 0.0000
Tc 3.5668 3.5668 3.5668
```